No. 1
VASP calculation (PBE-GGA) on an optimized crystal structure of YCuHgAs.

Cell lengths 6.954, 6.954, 6.954 Å; angles 90.00, 90.00, 90.00 degrees
Fractional positions:
Y (0.000, 0.000, 0.000)
Y (0.000, 0.500, 0.500)
Y (0.500, 0.000, 0.500)
Y (0.500, 0.500, 0.000)
Cu (0.250, 0.250, 0.750)
Cu (0.250, 0.750, 0.250)
Cu (0.750, 0.250, 0.250)
Cu (0.750, 0.750, 0.750)
Hg (0.250, 0.250, 0.250)
Hg (0.250, 0.750, 0.750)
Hg (0.750, 0.250, 0.750)
Hg (0.750, 0.750, 0.250)
As (0.000, 0.000, 0.500)
As (0.000, 0.500, 0.000)
As (0.500, 0.000, 0.000)
As (0.500, 0.500, 0.500)

Output
Polymorph energy (0 for the lowest one), meV/atom: 133


No. 2
VASP calculation (PBE-GGA) on an optimized crystal structure of YCuHgAs.

Cell lengths 6.916, 6.916, 6.916 Å; angles 90.00, 90.00, 90.00 degrees
Fractional positions:
Y (0.000, 0.000, 0.000)
Y (0.000, 0.500, 0.500)
Y (0.500, 0.000, 0.500)
Y (0.500, 0.500, 0.000)
Cu (0.000, 0.000, 0.500)
Cu (0.000, 0.500, 0.000)
Cu (0.500, 0.000, 0.000)
Cu (0.500, 0.500, 0.500)
Hg (0.250, 0.250, 0.750)
Hg (0.250, 0.750, 0.250)
Hg (0.750, 0.250, 0.250)
Hg (0.750, 0.750, 0.750)
As (0.250, 0.250, 0.250)
As (0.250, 0.750, 0.750)
As (0.750, 0.250, 0.750)
As (0.750, 0.750, 0.250)

Output
Polymorph energy (0 for the lowest one), meV/atom: 0


No. 3
VASP calculation (PBE-GGA) on an optimized crystal structure of HoCu3As2.

Cell lengths 4.124, 4.124, 6.649 Å; angles 90.00, 90.00, 120.00 degrees
Fractional positions:
Ho (0.000, 0.000, 0.000)
Cu (0.000, 0.000, 0.500)
Cu (0.333, 0.667, 0.649)
Cu (0.667, 0.333, 0.351)
As (0.333, 0.667, 0.250)
As (0.667, 0.333, 0.750)

Output
E_tot, eV per cell: -27.872


no.,M_tot (μB/atom),mass density (Mg/m³)
1,0.000,8.45
2,0.001,8.59
3,0.000,8.57